A.
The following is a DFT calculation (PBE) of a geometry-optimized ScOsSe2 structure.

Output
Fermi-level density of states   0.4487 states/eV per atom
Magnetic moment   0.0 Bohr magnetons per cell
Calculated volume   78 Å³ per cell

a = 4.463 Å, b = 4.463 Å, c = 3.959 Å
α = 90.00°, β = 90.00°, γ = 99.58°
Sites, in units of the cell vectors:
Sc: 0.000 0.000 0.000
Os: 0.500 0.500 0.000
Se: 0.283 0.717 0.500
Se: 0.717 0.283 0.500

***

B.
The following is a DFT calculation (PBE) of a geometry-optimized ScOsSe2 structure.

Output
Fermi-level density of states   0.9395 states/eV per atom
Magnetic moment   0.0 Bohr magnetons per cell
Calculated volume   77 Å³ per cell

a = 4.946 Å, b = 4.946 Å, c = 4.380 Å
α = 111.39°, β = 111.39°, γ = 110.48°
Sites, in units of the cell vectors:
Sc: 0.000 0.000 0.000
Os: 0.500 0.500 0.000
Se: 0.000 0.500 0.500
Se: 0.500 0.000 0.500

***

Bottom line: A, by a margin of 22.7 kJ/mol of atoms.

***

A.
The following is a DFT calculation (PBE) of a geometry-optimized ScOsSe2 structure.

Output
Fermi-level density of states   0.5135 states/eV per atom
Magnetic moment   0.0 Bohr magnetons per cell
Calculated volume   71 Å³ per cell

a = 5.696 Å, b = 5.696 Å, c = 5.696 Å
α = 147.71°, β = 133.12°, γ = 58.07°
Sites, in units of the cell vectors:
Sc: 0.000 0.000 0.000
Os: 0.722 0.222 0.500
Se: 0.242 0.742 0.500
Se: 0.529 0.529 0.000

***

B.
The following is a DFT calculation (PBE) of a geometry-optimized ScOsSe2 structure.

Output
Fermi-level density of states   0.6548 states/eV per atom
Magnetic moment   0.0 Bohr magnetons per cell
Calculated volume   71 Å³ per cell

a = 3.327 Å, b = 3.327 Å, c = 6.697 Å
α = 90.00°, β = 90.00°, γ = 106.10°
Sites, in units of the cell vectors:
Sc: 0.000 0.000 0.000
Os: 0.000 0.000 0.500
Se: 0.500 0.500 0.264
Se: 0.500 0.500 0.736

***

Bottom line: A, by a margin of 22.5 kJ/mol of atoms.

***

A.
The following is a DFT calculation (PBE) of a geometry-optimized ScOs3Se structure.

Output
Fermi-level density of states   1.4657 states/eV per atom
Magnetic moment   0.0 Bohr magnetons per cell
Calculated volume   102 Å³ per cell

a = 4.673 Å, b = 4.673 Å, c = 4.673 Å
α = 90.00°, β = 90.00°, γ = 90.00°
Sites, in units of the cell vectors:
Sc: 0.000 0.000 0.000
Os: 0.000 0.000 0.500
Os: 0.000 0.500 0.000
Os: 0.500 0.000 0.000
Se: 0.500 0.500 0.500

***

B.
The following is a DFT calculation (PBE) of a geometry-optimized ScOs3Se structure.

Output
Fermi-level density of states   0.5903 states/eV per atom
Magnetic moment   0.0 Bohr magnetons per cell
Calculated volume   93 Å³ per cell

a = 4.534 Å, b = 4.534 Å, c = 4.534 Å
α = 90.00°, β = 90.00°, γ = 90.00°
Sites, in units of the cell vectors:
Sc: 0.000 0.000 0.000
Os: 0.000 0.500 0.500
Os: 0.500 0.000 0.500
Os: 0.500 0.500 0.000
Se: 0.500 0.500 0.500

***

Bottom line: B, by a margin of 136.2 kJ/mol of atoms.

***

A.
The following is a DFT calculation (PBE) of a geometry-optimized Sc3OsSe structure.

Output
Fermi-level density of states   1.3959 states/eV per atom
Magnetic moment   0.0 Bohr magnetons per cell
Calculated volume   113 Å³ per cell

a = 4.835 Å, b = 4.835 Å, c = 4.835 Å
α = 90.00°, β = 90.00°, γ = 90.00°
Sites, in units of the cell vectors:
Sc: 0.000 0.000 0.500
Sc: 0.000 0.500 0.000
Sc: 0.500 0.000 0.000
Os: 0.500 0.500 0.500
Se: 0.000 0.000 0.000

***

B.
The following is a DFT calculation (PBE) of a geometry-optimized Sc3OsSe structure.

Output
Fermi-level density of states   0.9125 states/eV per atom
Magnetic moment   0.0 Bohr magnetons per cell
Calculated volume   127 Å³ per cell

a = 5.032 Å, b = 5.032 Å, c = 5.032 Å
α = 90.00°, β = 90.00°, γ = 90.00°
Sites, in units of the cell vectors:
Sc: 0.000 0.000 0.500
Sc: 0.000 0.500 0.000
Sc: 0.500 0.000 0.000
Os: 0.000 0.000 0.000
Se: 0.500 0.500 0.500

***

Bottom line: B, by a margin of 30.2 kJ/mol of atoms.